Material: TlGeAs3
Method: DFT, PBE-GGA
State: relaxed

E, eV for the cell shown: -40.09
Theoretical density, g/cm3: 6.9
Energy relative to the lowest polymorph listed for this composition, meV per atom: 0.0
Calculated volume, Å³/f.u.: 121.6
Energy relative to the elements, eV/atom: 0.18
Crystal system: triclinic

Lattice parameters (Å, degrees): 5.9189 5.9239 7.1794 96.66 96.09 101.06
Atoms (fractional coordinates):
Tl  0.1350  0.3647  0.2496
Tl  0.8650  0.6353  0.7504
Ge  0.5000  0.0000  0.0000
Ge  0.5000  0.0000  0.5000
As  0.1505  0.8601  0.2123
As  0.2776  0.2234  0.7511
As  0.3607  0.6505  0.7111
As  0.6393  0.3495  0.2889
As  0.7224  0.7766  0.2489
As  0.8495  0.1399  0.7877